[1]
Density functional theory data (GGA-PBE) for Tb2HoInN after structural relaxation.

a = 4.7934 Å, b = 4.8499 Å, c = 4.8499 Å
α = 90.00°, β = 90.00°, γ = 90.00°
Sites, in units of the cell vectors:
Tb 0.0000 0.0000 0.5000
Tb 0.0000 0.5000 0.0000
Ho 0.5000 0.0000 0.0000
In 0.5000 0.5000 0.5000
N 0.0000 0.0000 0.0000

Calculated values
SG   No. 123
Formation energy without anion corrections   -993 meV per atom
Total energy   -29.9 eV per formula unit


[2]
Density functional theory data (GGA-PBE) for LiMgB2H8 after structural relaxation.

a = 4.4318 Å, b = 4.4318 Å, c = 7.0976 Å
α = 90.00°, β = 90.00°, γ = 120.00°
Each line ends with the local moment (μB).
Sites, in units of the cell vectors:
Li 0.0000 0.0000 0.0000  0.01
Mg 0.0000 0.0000 0.5000  0.23
B 0.3333 0.6667 0.7590  0.04
B 0.6667 0.3333 0.2410  0.04
H 0.1820 0.3640 0.8136  0.01
H 0.1820 0.8180 0.8136  0.01
H 0.6360 0.8180 0.8136  0.01
H 0.3640 0.1820 0.1864  0.01
H 0.6667 0.3333 0.4156  0.01
H 0.3333 0.6667 0.5844  0.01
H 0.8180 0.6360 0.1864  0.01
H 0.8180 0.1820 0.1864  0.01

Calculated values
SG   No. 164
Total energy   -44.7 eV per formula unit


[3]
Density functional theory data (GGA-PBE) for SnHO3 after structural relaxation.

a = 4.0908 Å, b = 4.0908 Å, c = 4.0908 Å
α = 83.08°, β = 83.08°, γ = 83.08°
Each line ends with the local moment (μB).
Sites, in units of the cell vectors:
Sn 0.2068 0.2068 0.2068  -0.03
H 0.9343 0.9343 0.9343  -0.01
O 0.7074 0.1383 0.1383  0.29
O 0.1383 0.7074 0.1383  0.29
O 0.1383 0.1383 0.7074  0.29

Calculated values
SG   No. 160
Total energy   -25.3 eV per formula unit